Here is crystalline Pm3AgHg at its relaxed geometry from the Alexandria database. Energies are from PBE.

Output
V in Å³ per atom: 28.5
E above lowest polymorph in meV/atom: 0
Magnetic moment in μB per formula unit: 0.37
Final energy in eV per atom: -3.769

Cell lengths 5.3167, 20.1207, 5.3202 Å; angles 90.00, 90.00, 90.00 degrees
Closest atoms and distances in Å follow each position.
Space group Cmcm (No. 63)
Symmetry-distinct sites (fractional):
Pm  0.0000  0.0634  0.2500 (multiplicity 4)  2 Hg 3.23, 2 Ag 3.25
Pm  0.0000  0.2501  0.2500 (multiplicity 4)  4 Ag 3.26-3.27, 4 Hg 3.28
Pm  0.0000  0.4372  0.2500 (multiplicity 4)  2 Hg 3.24, 2 Ag 3.25
Ag  0.0000  0.1559  0.7500 (multiplicity 4)  8 Pm 3.25-3.27
Hg  0.0000  0.3455  0.7500 (multiplicity 4)  8 Pm 3.23-3.28